VHgNF2 | PBE with a Hubbard U | optimized geometry

Cell lengths 4.064, 4.064, 4.003 Å; angles 90.00, 90.00, 90.00 degrees
Site moments in Bohr magnetons follow the coordinates.
Sites, in units of the cell vectors:
N1 0.000 0.000 0.500  -0.30
F1 0.000 0.500 0.000  0.01
F2 0.500 0.000 0.000  0.01
Hg1 0.500 0.500 0.500  0.10
V1 0.000 0.000 0.000  1.76

DFT total energy in eV per cell: -24.6
Crystal system: tetragonal
N(E_F) in states/eV/cell: 2.298
Energy above the lowest structure with this stoichiometry in meV/atom: 0.0